1.
An optimized crystal structure of PuNbBrO4, computed with PBE.

a = 6.5045 Å, b = 6.5045 Å, c = 7.0990 Å
α = 73.40°, β = 73.40°, γ = 68.83°
Positions (direct):
Pu 0.2321 0.2321 0.8355
Pu 0.7679 0.7679 0.1645
Nb 0.6255 0.6255 0.7658
Nb 0.3745 0.3745 0.2342
Br 0.0129 0.0129 0.2405
Br 0.9871 0.9871 0.7595
O 0.3277 0.3277 0.5125
O 0.6723 0.6723 0.4875
O 0.0799 0.4984 0.1780
O 0.5630 0.5630 0.1381
O 0.5016 0.9201 0.8220
O 0.4984 0.0799 0.1780
O 0.4370 0.4370 0.8619
O 0.9201 0.5016 0.8220

- M_tot: 8.00 Bohr magnetons per cell
- SG: C2/m
- D(E_F): 11.20 states/eV per cell
- Formation energy without anion corrections: -2432 meV/atom

---

2.
An optimized crystal structure of In2ReSb, computed with PBE.

a = 7.1653 Å, b = 7.1653 Å, c = 7.1653 Å
α = 154.66°, β = 142.02°, γ = 46.21°
Positions (direct):
In 0.0056 0.0056 0.0000
In 0.6790 0.1790 0.5000
Re 0.4909 0.4909 0.0000
Sb 0.3244 0.8244 0.5000

- M_tot: 0.00 Bohr magnetons per cell
- SG: Imm2
- D(E_F): 4.51 states/eV per cell
- Formation energy without anion corrections: 392 meV/atom

---

3.
An optimized crystal structure of BaSrDySbO6, computed with PBE.

a = 5.9676 Å, b = 5.9699 Å, c = 8.4254 Å
α = 90.09°, β = 90.13°, γ = 89.78°
Positions (direct):
Ba 0.4915 0.4950 0.7502
Ba 0.5085 0.5050 0.2498
Sr 0.9861 0.9971 0.7495
Sr 0.0139 0.0029 0.2505
Dy 0.5000 0.0000 0.0000
Dy 0.0000 0.5000 0.5000
Sb 0.0000 0.5000 0.0000
Sb 0.5000 0.0000 0.5000
O 0.7856 0.7576 0.0391
O 0.2823 0.7436 0.4916
O 0.2144 0.2424 0.9609
O 0.7177 0.2564 0.5084
O 0.2533 0.7208 0.0121
O 0.7623 0.7903 0.4619
O 0.7467 0.2792 0.9879
O 0.2377 0.2097 0.5381
O 0.9785 0.5565 0.7638
O 0.5400 0.9609 0.7363
O 0.0215 0.4435 0.2362
O 0.4600 0.0391 0.2637

- M_tot: 0.00 Bohr magnetons per cell
- SG: P-1
- Distance to the lowest polymorph of the same formula: 0.000 eV/f.u.
- D(E_F): 0.00 states/eV per cell
- Formation energy without anion corrections: -2671 meV/atom

---

4.
An optimized crystal structure of KCd2GeO4, computed with PBE.

a = 5.8046 Å, b = 5.8046 Å, c = 5.6647 Å
α = 120.83°, β = 120.83°, γ = 89.97°
Positions (direct):
K 0.9999 0.9999 0.9998
Cd 0.7500 0.2498 0.4999
Cd 0.2498 0.7500 0.4999
Ge 0.5001 0.5001 0.0001
O 0.5511 0.5511 0.7382
O 0.4492 0.8133 0.2625
O 0.8133 0.4492 0.2625
O 0.1869 0.1869 0.7377

- M_tot: 0.00 Bohr magnetons per cell
- SG: I-42m
- D(E_F): 0.88 states/eV per cell
- Formation energy without anion corrections: -1327 meV/atom

---

Q: Among the records above, which one has the highest formation energy without anion corrections?
A: In2ReSb

---

Q: What is the formation energy without anion corrections in the first record?
A: -2432 meV/atom

---

Q: Which of these has the highest formation energy without anion corrections?
A: In2ReSb

---

Q: Which of these has the lowest formation energy without anion corrections?
A: BaSrDySbO6